# 1
The following is a DFT calculation (PBE) of PmDyGeIr after structural relaxation.

a = 5.0282 Å, b = 5.0282 Å, c = 5.0282 Å
α = 60.00°, β = 60.00°, γ = 60.00°
Last column: nearest neighbours and their distance in Å.
Fractional positions:
Pm: 0.0000 0.0000 0.0000  4 Ge 3.08, 4 Ir 3.08
Dy: 0.5000 0.5000 0.5000  4 Ge 3.08, 4 Ir 3.08
Ge: 0.2500 0.2500 0.2500  4 Dy 3.08, 4 Pm 3.08
Ir: 0.7500 0.7500 0.7500  4 Dy 3.08, 4 Pm 3.08

Energy above the lowest structure with this stoichiometry: 0.191 eV per atom
Formation energy from the elements: -14.48 kcal/mol of atoms
Size of the total moment: 0.00 μB/cell
Symmetry: F-43m

=====

# 2
The following is a DFT calculation (PBE) of Ba2SiS after structural relaxation.

a = 7.5230 Å, b = 7.5230 Å, c = 7.5230 Å
α = 112.36°, β = 112.36°, γ = 103.84°
Last column: nearest neighbours and their distance in Å.
Fractional positions:
Ba: 0.0980 0.1250 0.4730  2 S 3.04, 2 Si 3.33
Ba: 0.3750 0.9020 0.0270  2 S 3.04, 2 Si 3.33
Ba: 0.6520 0.6250 0.5270  2 S 3.04, 2 Si 3.33
Ba: 0.8750 0.3480 0.9730  2 S 3.04, 2 Si 3.33
Si: 0.2500 0.7500 0.5000  4 Ba 3.33
Si: 0.5000 0.5000 0.0000  4 Ba 3.33
S: 0.0000 0.0000 0.0000  4 Ba 3.04
S: 0.7500 0.2500 0.5000  4 Ba 3.04

Energy above the lowest structure with this stoichiometry: 0.541 eV per atom
Formation energy without anion corrections: -0.67 eV per atom
Size of the total moment: 4.00 μB/cell
Symmetry: I-42d

=====

# 3
The following is a DFT calculation (PBE) of Zr3IN after structural relaxation.

a = 4.5712 Å, b = 4.5712 Å, c = 4.5712 Å
α = 90.00°, β = 90.00°, γ = 90.00°
Last column: nearest neighbours and their distance in Å.
Fractional positions:
Zr: 0.0000 0.0000 0.5000  2 N 2.29
Zr: 0.0000 0.5000 0.0000  2 N 2.29
Zr: 0.5000 0.0000 0.0000  2 N 2.29
I: 0.5000 0.5000 0.5000  12 Zr 3.23
N: 0.0000 0.0000 0.0000  6 Zr 2.29

Energy above the lowest structure with this stoichiometry: 0.000 eV per atom
Formation energy without anion corrections: -0.32 eV per atom
Size of the total moment: 0.78 μB/cell
Symmetry: Pm-3m

=====

# 4
The following is a DFT calculation (PBE) of Y8HoEr6 after structural relaxation.

a = 8.1253 Å, b = 8.1253 Å, c = 8.1253 Å
α = 73.18°, β = 73.18°, γ = 73.18°
Last column: nearest neighbours and their distance in Å.
Fractional positions:
Y: 0.0886 0.0886 0.0886  3 Er 3.11, 1 Y 3.13
Y: 0.1438 0.5700 0.2708  3 Er 3.27-3.51, 2 Y 3.62
Y: 0.2708 0.1438 0.5700  3 Er 3.27-3.51, 2 Y 3.62
Y: 0.4300 0.7292 0.8562  3 Er 3.27-3.51, 2 Y 3.62
Y: 0.5700 0.2708 0.1438  3 Er 3.27-3.51, 2 Y 3.62
Y: 0.7292 0.8562 0.4300  3 Er 3.27-3.51, 2 Y 3.62
Y: 0.8562 0.4300 0.7292  3 Er 3.27-3.51, 2 Y 3.62
Y: 0.9114 0.9114 0.9114  3 Er 3.11, 1 Y 3.13
Ho: 0.5000 0.5000 0.5000  6 Er 3.33, 6 Y 3.70
Er: 0.1131 0.7873 0.5643  3 Y 3.11-3.44, 1 Ho 3.33, 3 Er 3.35-3.43
Er: 0.2127 0.4357 0.8869  3 Y 3.11-3.44, 1 Ho 3.33, 3 Er 3.35-3.43
Er: 0.4357 0.8869 0.2127  3 Y 3.11-3.44, 1 Ho 3.33, 3 Er 3.35-3.43
Er: 0.5643 0.1131 0.7873  3 Y 3.11-3.44, 1 Ho 3.33, 3 Er 3.35-3.43
Er: 0.7873 0.5643 0.1131  3 Y 3.11-3.44, 1 Ho 3.33, 3 Er 3.35-3.43
Er: 0.8869 0.2127 0.4357  3 Y 3.11-3.44, 1 Ho 3.33, 3 Er 3.35-3.43

Energy above the lowest structure with this stoichiometry: 0.000 eV per atom
Formation energy from the elements: 4.32 kcal/mol of atoms
Size of the total moment: 0.00 μB/cell
Symmetry: R-3

=====

# 5
The following is a DFT calculation (PBE) of Ba2ReMo after structural relaxation.

a = 4.2746 Å, b = 4.2746 Å, c = 9.6875 Å
α = 102.23°, β = 102.23°, γ = 60.01°
Last column: nearest neighbours and their distance in Å.
Fractional positions:
Ba: 0.0000 0.0000 0.0000  3 Re 3.50, 3 Mo 3.55
Ba: 0.1728 0.1728 0.5366  3 Mo 3.50-3.51, 3 Re 3.55-3.56
Re: 0.7518 0.7518 0.2645  3 Mo 2.47
Mo: 0.4208 0.4208 0.2713  3 Re 2.47

Energy above the lowest structure with this stoichiometry: 0.000 eV per atom
Formation energy from the elements: 11.58 kcal/mol of atoms
Size of the total moment: 0.00 μB/cell
Symmetry: Cm

=====

# 6
The following is a DFT calculation (PBE) of Ti3VZn2 after structural relaxation.

a = 6.9806 Å, b = 6.9806 Å, c = 6.3343 Å
α = 90.00°, β = 90.00°, γ = 142.85°
Last column: nearest neighbours and their distance in Å.
Fractional positions:
Ti: 0.0000 0.0000 0.2399  6 Zn 2.69-2.77, 2 V 2.71
Ti: 0.0000 0.0000 0.7601  6 Zn 2.69-2.77, 2 V 2.71
Ti: 0.3314 0.6686 0.2401  3 V 2.63-2.69, 5 Zn 2.70-2.77
Ti: 0.3314 0.6686 0.7599  3 V 2.63-2.69, 5 Zn 2.70-2.77
Ti: 0.6686 0.3314 0.2401  3 V 2.63-2.69, 5 Zn 2.70-2.77
Ti: 0.6686 0.3314 0.7599  3 V 2.63-2.69, 5 Zn 2.70-2.77
V: 0.1692 0.8308 0.0000  8 Ti 2.63-2.71
V: 0.8308 0.1692 0.0000  8 Ti 2.63-2.71
Zn: 0.1657 0.8343 0.5000  8 Ti 2.74-2.77
Zn: 0.5000 0.5000 0.0000  8 Ti 2.69-2.70
Zn: 0.5000 0.5000 0.5000  8 Ti 2.77
Zn: 0.8343 0.1657 0.5000  8 Ti 2.74-2.77

Energy above the lowest structure with this stoichiometry: 0.011 eV per atom
Formation energy from the elements: -2.41 kcal/mol of atoms
Size of the total moment: 1.35 μB/cell
Symmetry: Cmmm

=====

# 7
The following is a DFT calculation (PBE) of NiMoI2N after structural relaxation.

a = 5.5613 Å, b = 5.5613 Å, c = 3.8002 Å
α = 90.00°, β = 90.00°, γ = 90.00°
Last column: nearest neighbours and their distance in Å.
Fractional positions:
Ni: 0.0000 0.0000 0.0000  8 I 3.37
Mo: 0.5000 0.5000 0.5000  2 N 1.90
I: 0.0000 0.5000 0.5000  2 Mo 2.78
I: 0.5000 0.0000 0.5000  2 Mo 2.78
N: 0.5000 0.5000 0.0000  2 Mo 1.90

Energy above the lowest structure with this stoichiometry: 0.000 eV per atom
Formation energy without anion corrections: 0.73 eV per atom
Size of the total moment: 1.73 μB/cell
Symmetry: P4/mmm

=====

# 8
The following is a DFT calculation (PBE) of Sc2In3Hg3 after structural relaxation.

a = 4.4716 Å, b = 4.5185 Å, c = 8.8890 Å
α = 90.00°, β = 90.00°, γ = 90.00°
Last column: nearest neighbours and their distance in Å.
Fractional positions:
Sc: 0.0000 0.0000 0.2504  6 In 3.15-3.17, 6 Hg 3.17-3.18
Sc: 0.0000 0.0000 0.7496  6 In 3.15-3.17, 6 Hg 3.17-3.18
In: 0.0000 0.5000 0.0000  4 Hg 3.14, 4 Sc 3.17, 4 In 3.18
In: 0.5000 0.0000 0.0000  4 Sc 3.15, 4 Hg 3.16, 4 In 3.18
In: 0.5000 0.0000 0.5000  4 Sc 3.15, 8 Hg 3.18
Hg: 0.0000 0.5000 0.5000  4 Hg 3.16, 4 Sc 3.17, 4 In 3.18
Hg: 0.5000 0.5000 0.2487  6 In 3.14-3.18, 2 Hg 3.16, 4 Sc 3.18
Hg: 0.5000 0.5000 0.7513  6 In 3.14-3.18, 2 Hg 3.16, 4 Sc 3.18

Formation energy from the elements: -6.32 kcal/mol of atoms
Size of the total moment: 0.00 μB/cell
Symmetry: Pmmm

=====

# 9
The following is a DFT calculation (PBE) of Rb2Ca2Tl after structural relaxation.

a = 8.4750 Å, b = 8.4750 Å, c = 7.2656 Å
α = 90.00°, β = 90.00°, γ = 90.00°
Last column: nearest neighbours and their distance in Å.
Fractional positions:
Rb: 0.1815 0.3185 0.0000  2 Ca 4.08, 5 Rb 4.35-4.39
Rb: 0.3185 0.8185 0.0000  2 Ca 4.08, 5 Rb 4.35-4.39
Rb: 0.6815 0.1815 0.0000  2 Ca 4.08, 5 Rb 4.35-4.39
Rb: 0.8185 0.6815 0.0000  2 Ca 4.08, 5 Rb 4.35-4.39
Ca: 0.1644 0.6644 0.5000  2 Tl 3.17
Ca: 0.3356 0.1644 0.5000  2 Tl 3.17
Ca: 0.6644 0.8356 0.5000  2 Tl 3.17
Ca: 0.8356 0.3356 0.5000  2 Tl 3.17
Tl: 0.0000 0.0000 0.5000  4 Ca 3.17
Tl: 0.5000 0.5000 0.5000  4 Ca 3.17

Formation energy from the elements: 1.45 kcal/mol of atoms
Size of the total moment: 0.00 μB/cell
Symmetry: P4/mbm

=====

# 10
The following is a DFT calculation (PBE) of Se2IN2 after structural relaxation.

a = 3.9136 Å, b = 3.9136 Å, c = 7.5442 Å
α = 90.00°, β = 90.00°, γ = 90.00°
Last column: nearest neighbours and their distance in Å.
Fractional positions:
Se: 0.0000 0.0000 0.0000  4 I 2.77
Se: 0.0000 0.0000 0.5000  4 N 1.96
I: 0.5000 0.5000 0.0000  4 Se 2.77
N: 0.0000 0.5000 0.5000  2 Se 1.96
N: 0.5000 0.0000 0.5000  2 Se 1.96

Energy above the lowest structure with this stoichiometry: 0.000 eV per atom
Formation energy without anion corrections: 1.59 eV per atom
Size of the total moment: 1.07 μB/cell
Symmetry: P4/mmm

=====

# 11
The following is a DFT calculation (PBE) of KBaSr4 after structural relaxation.

a = 8.0972 Å, b = 8.0972 Å, c = 8.0972 Å
α = 60.00°, β = 60.00°, γ = 60.00°
Last column: nearest neighbours and their distance in Å.
Fractional positions:
K: 0.0000 0.0000 0.0000  12 Sr 4.75, 4 Ba 4.96
Ba: 0.2500 0.2500 0.2500  12 Sr 4.75, 4 K 4.96
Sr: 0.1263 0.6246 0.6246  6 Sr 4.03-4.06
Sr: 0.6246 0.1263 0.6246  6 Sr 4.03-4.06
Sr: 0.6246 0.6246 0.1263  6 Sr 4.03-4.06
Sr: 0.6246 0.6246 0.6246  6 Sr 4.03-4.06

Energy above the lowest structure with this stoichiometry: 0.056 eV per atom
Formation energy from the elements: 2.25 kcal/mol of atoms
Size of the total moment: 0.00 μB/cell
Symmetry: F-43m

=====

# 12
The following is a DFT calculation (PBE) of Hf2ZrCo2 after structural relaxation.

a = 7.1912 Å, b = 7.1912 Å, c = 3.3303 Å
α = 90.00°, β = 90.00°, γ = 90.00°
Last column: nearest neighbours and their distance in Å.
Fractional positions:
Hf: 0.1626 0.3374 0.0000  6 Co 2.68-2.70
Hf: 0.3374 0.8374 0.0000  6 Co 2.68-2.70
Hf: 0.6626 0.1626 0.0000  6 Co 2.68-2.70
Hf: 0.8374 0.6626 0.0000  6 Co 2.68-2.70
Zr: 0.0000 0.0000 0.5000  4 Co 2.83, 8 Hf 3.17
Zr: 0.5000 0.5000 0.5000  4 Co 2.83, 8 Hf 3.17
Co: 0.1282 0.6282 0.5000  1 Co 2.61, 6 Hf 2.68-2.70, 2 Zr 2.83
Co: 0.3718 0.1282 0.5000  1 Co 2.61, 6 Hf 2.68-2.70, 2 Zr 2.83
Co: 0.6282 0.8718 0.5000  1 Co 2.61, 6 Hf 2.68-2.70, 2 Zr 2.83
Co: 0.8718 0.3718 0.5000  1 Co 2.61, 6 Hf 2.68-2.70, 2 Zr 2.83

Energy above the lowest structure with this stoichiometry: 0.000 eV per atom
Formation energy from the elements: -6.22 kcal/mol of atoms
Size of the total moment: 0.00 μB/cell
Symmetry: P4/mbm

=====

# 13
The following is a DFT calculation (PBE) of Na2HgSb after structural relaxation.

a = 10.4627 Å, b = 10.4627 Å, c = 10.4627 Å
α = 19.13°, β = 19.13°, γ = 19.13°
Last column: nearest neighbours and their distance in Å.
Fractional positions:
Na: 0.0000 0.0000 0.0000  3 Sb 3.25, 3 Hg 3.26, 6 Na 3.48
Na: 0.1670 0.1670 0.1670  3 Sb 3.26, 3 Hg 3.26, 6 Na 3.48
Hg: 0.7502 0.7502 0.7502  6 Na 3.26, 6 Hg 3.48
Sb: 0.5835 0.5835 0.5835  6 Na 3.25-3.26, 6 Sb 3.48

Formation energy without anion corrections: -0.20 eV per atom
Size of the total moment: 0.00 μB/cell
Symmetry: R3m

=====

# 14
The following is a DFT calculation (PBE) of ReHgW after structural relaxation.

a = 6.0489 Å, b = 6.0489 Å, c = 6.0489 Å
α = 150.63°, β = 150.63°, γ = 42.01°
Last column: nearest neighbours and their distance in Å.
Fractional positions:
Re: 0.0000 0.0000 0.0000  4 W 2.60
Hg: 0.6843 0.6843 0.0000  4 Re 3.01, 4 W 3.04, 4 Hg 3.07
W: 0.3727 0.3727 0.0000  4 Re 2.60

Energy above the lowest structure with this stoichiometry: 0.000 eV per atom
Formation energy from the elements: 13.32 kcal/mol of atoms
Size of the total moment: 0.00 μB/cell
Symmetry: I4mm